A plane-wave DFT calculation with PBE was carried out for a relaxed Na3Ac3PaTe8 crystal.

## Properties
- Spin magnetization: 0.068 μB/atom
- D(E_F): 0.161 states/eV per atom
- Space-group type: R-3m
- VASP energy: -4.66 eV/atom

Cell: 9.3235 9.3235 9.3235 Å, 61.08 61.08 61.08°
Sites, in units of the cell vectors:
Na  0.0000  0.5000  0.5000
Na  0.5000  0.0000  0.5000
Na  0.5000  0.5000  0.0000
Ac  0.0000  0.0000  0.5000
Ac  0.0000  0.5000  0.0000
Ac  0.5000  0.0000  0.0000
Pa  0.5000  0.5000  0.5000
Te  0.2501  0.2501  0.2501
Te  0.2647  0.2647  0.7348
Te  0.2647  0.7348  0.2647
Te  0.2652  0.7353  0.7353
Te  0.7348  0.2647  0.2647
Te  0.7353  0.2652  0.7353
Te  0.7353  0.7353  0.2652
Te  0.7499  0.7499  0.7499